A:
Below is an optimized crystal structure of Pu3PaPt3, with properties calculated at the PBE-GGA level.

Calculated values
Magnetic moment = 9.91 μB per cell

a = 7.259 Å, b = 7.259 Å, c = 5.710 Å
α = 92.37°, β = 92.37°, γ = 82.55°
Atoms (fractional coordinates):
Pu1 0.644 0.644 0.493
Pu2 0.317 0.683 0.000
Pu3 0.277 0.723 0.500
Pu4 0.356 0.356 0.507
Pu5 0.683 0.317 0.000
Pu6 0.723 0.277 0.500
Pt1 0.480 0.008 0.247
Pt2 0.992 0.520 0.753
Pt3 0.922 0.922 0.688
Pt4 0.520 0.992 0.753
Pt5 0.008 0.480 0.247
Pt6 0.078 0.078 0.312
Pa1 0.827 0.827 0.124
Pa2 0.173 0.173 0.876

B:
Below is an optimized crystal structure of Pu3PaPt3, with properties calculated at the PBE-GGA level.

Calculated values
Magnetic moment = 24.88 μB per cell

a = 4.269 Å, b = 13.829 Å, c = 11.530 Å
α = 90.00°, β = 90.00°, γ = 90.00°
Atoms (fractional coordinates):
Pa1 0.750 0.442 0.371
Pa2 0.750 0.942 0.129
Pa3 0.250 0.558 0.629
Pa4 0.250 0.058 0.871
Pu1 0.750 0.715 0.796
Pu2 0.250 0.566 0.123
Pu3 0.750 0.210 0.025
Pu4 0.250 0.785 0.296
Pu5 0.250 0.790 0.975
Pu6 0.250 0.290 0.525
Pu7 0.750 0.934 0.623
Pu8 0.250 0.066 0.377
Pu9 0.250 0.285 0.204
Pu10 0.750 0.710 0.475
Pu11 0.750 0.434 0.877
Pu12 0.750 0.215 0.704
Pt1 0.250 0.575 0.381
Pt2 0.250 0.578 0.870
Pt3 0.250 0.770 0.634
Pt4 0.250 0.075 0.119
Pt5 0.750 0.425 0.619
Pt6 0.750 0.922 0.370
Pt7 0.750 0.422 0.130
Pt8 0.750 0.230 0.366
Pt9 0.250 0.078 0.630
Pt10 0.750 0.730 0.134
Pt11 0.750 0.925 0.881
Pt12 0.250 0.270 0.866

A is the most stable structure; the next one sits 33 meV per atom above it.

A:
Below is an optimized crystal structure of Pu4PaPt5, with properties calculated at the PBE-GGA level.

Calculated values
Magnetic moment = 22.79 μB per cell

a = 3.531 Å, b = 3.531 Å, c = 17.461 Å
α = 90.00°, β = 90.00°, γ = 90.00°
Atoms (fractional coordinates):
Pu1 0.000 0.000 0.202
Pu2 0.000 0.000 0.798
Pu3 0.000 0.000 0.400
Pu4 0.000 0.000 0.600
Pt1 0.500 0.500 0.301
Pt2 0.500 0.500 0.500
Pt3 0.500 0.500 0.908
Pt4 0.500 0.500 0.699
Pt5 0.500 0.500 0.092
Pa1 0.000 0.000 0.000

B:
Below is an optimized crystal structure of Pu4PaPt5, with properties calculated at the PBE-GGA level.

Calculated values
Magnetic moment = 0.00 μB per cell

a = 5.812 Å, b = 7.792 Å, c = 8.386 Å
α = 84.30°, β = 65.81°, γ = 41.77°
Atoms (fractional coordinates):
Pu1 0.399 0.356 0.790
Pu2 0.897 0.749 0.570
Pu3 0.681 0.566 0.210
Pu4 0.176 0.179 0.430
Pt1 0.092 0.666 0.166
Pt2 0.743 0.501 0.834
Pt3 0.539 0.962 0.000
Pt4 0.729 0.159 0.376
Pt5 0.332 0.782 0.624
Pa1 0.922 0.079 0.000

B is the most stable structure; the next one sits 14 meV per atom above it.

A:
Below is an optimized crystal structure of PuPa2Pt3, with properties calculated at the PBE-GGA level.

Calculated values
Magnetic moment = 11.96 μB per cell

a = 8.382 Å, b = 8.201 Å, c = 7.120 Å
α = 125.16°, β = 126.06°, γ = 90.00°
Atoms (fractional coordinates):
Pt1 0.500 0.749 0.000
Pt2 0.000 0.751 0.000
Pt3 0.500 0.251 0.000
Pt4 0.000 0.500 0.500
Pt5 0.000 0.000 0.500
Pt6 0.000 0.249 0.000
Pa1 0.708 0.482 0.965
Pa2 0.244 0.018 0.035
Pa3 0.292 0.518 0.035
Pa4 0.756 0.982 0.965
Pu1 0.307 0.750 0.500
Pu2 0.693 0.250 0.500

B:
Below is an optimized crystal structure of PuPa2Pt3, with properties calculated at the PBE-GGA level.

Calculated values
Magnetic moment = 11.83 μB per cell

a = 5.188 Å, b = 5.736 Å, c = 8.474 Å
α = 90.00°, β = 90.00°, γ = 90.00°
Atoms (fractional coordinates):
Pt1 0.500 0.735 0.171
Pt2 0.000 0.481 0.003
Pt3 0.000 0.246 0.328
Pt4 0.000 0.981 0.997
Pt5 0.000 0.746 0.672
Pt6 0.500 0.235 0.829
Pu1 0.500 0.565 0.512
Pu2 0.500 0.065 0.488
Pa1 0.000 0.242 0.684
Pa2 0.500 0.232 0.159
Pa3 0.000 0.742 0.316
Pa4 0.500 0.732 0.841

B is the most stable structure; the next one sits 278 meV per atom above it.

A:
Below is an optimized crystal structure of PuPaPt3, with properties calculated at the PBE-GGA level.

Calculated values
Magnetic moment = 6.28 μB per cell

a = 5.081 Å, b = 5.081 Å, c = 5.669 Å
α = 116.62°, β = 116.62°, γ = 90.00°
Atoms (fractional coordinates):
Pu1 0.023 0.023 0.047
Pt1 0.364 0.364 0.728
Pt2 0.275 0.775 0.549
Pt3 0.775 0.275 0.549
Pa1 0.654 0.654 0.307

B:
Below is an optimized crystal structure of PuPaPt3, with properties calculated at the PBE-GGA level.

Calculated values
Magnetic moment = 11.16 μB per cell

a = 4.171 Å, b = 5.674 Å, c = 9.169 Å
α = 90.00°, β = 90.00°, γ = 90.00°
Atoms (fractional coordinates):
Pt1 0.500 0.500 0.114
Pt2 0.000 0.251 0.270
Pt3 0.500 0.249 0.730
Pt4 0.000 0.000 0.886
Pt5 0.500 0.751 0.730
Pt6 0.000 0.749 0.270
Pa1 0.500 0.000 0.104
Pa2 0.000 0.500 0.896
Pu1 0.500 0.500 0.450
Pu2 0.000 0.000 0.550

B is the most stable structure; the next one sits 317 meV per atom above it.

A:
Below is an optimized crystal structure of PaPt4Rh, with properties calculated at the PBE-GGA level.

Calculated values
Magnetic moment = 0.00 μB per cell

a = 5.072 Å, b = 5.072 Å, c = 4.999 Å
α = 78.95°, β = 78.95°, γ = 119.93°
Atoms (fractional coordinates):
Pt1 0.669 0.832 0.501
Pt2 0.327 0.173 0.501
Pt3 0.163 0.338 0.001
Pt4 0.834 0.667 0.001
Pa1 0.498 0.003 0.001
Rh1 0.998 0.503 0.501

B:
Below is an optimized crystal structure of PaPt4Rh, with properties calculated at the PBE-GGA level.

Calculated values
Magnetic moment = 0.69 μB per cell

a = 5.306 Å, b = 5.306 Å, c = 5.306 Å
α = 60.00°, β = 60.00°, γ = 60.00°
Atoms (fractional coordinates):
Pt1 0.624 0.127 0.624
Pt2 0.624 0.624 0.127
Pt3 0.127 0.624 0.624
Pt4 0.624 0.624 0.624
Pa1 0.000 0.000 0.000
Rh1 0.250 0.250 0.250

A is the most stable structure; the next one sits 57 meV per atom above it.

A:
Below is an optimized crystal structure of Pa2PtRh, with properties calculated at the PBE-GGA level.

Calculated values
Magnetic moment = 0.02 μB per cell

a = 3.476 Å, b = 3.476 Å, c = 6.947 Å
α = 90.00°, β = 90.00°, γ = 90.00°
Atoms (fractional coordinates):
Pt1 0.500 0.500 0.500
Rh1 0.500 0.500 0.000
Pa1 0.000 0.000 0.758
Pa2 0.000 0.000 0.242

B:
Below is an optimized crystal structure of Pa2PtRh, with properties calculated at the PBE-GGA level.

Calculated values
Magnetic moment = 0.00 μB per cell

a = 3.095 Å, b = 3.095 Å, c = 10.256 Å
α = 81.32°, β = 81.32°, γ = 60.00°
Atoms (fractional coordinates):
Pa1 0.090 0.090 0.731
Pa2 0.910 0.910 0.269
Rh1 0.500 0.500 0.500
Pt1 0.000 0.000 0.000

A is the most stable structure; the next one sits 519 meV per atom above it.